[1]
## KBa3 (PBE)

Data for KBa3 after structural relaxation.

Cell lengths 7.2624, 4.3768, 8.3792 Å; angles 81.22, 90.00, 90.00 degrees
Fractional coordinates of all 4 atoms:
Ba (0.0000, 0.0187, 0.9940)
K (0.5000, 0.2500, 0.2500)
Ba (0.5000, 0.7500, 0.7500)
Ba (0.0000, 0.4813, 0.5060)

Summary:
ρ = 2846 kg/m3
ΔH_f (0 K) = 1.8 kcal/mol of atoms

=====

[2]
## Li2TaAg3S6 (PBE)

Data for Li2TaAg3S6 after structural relaxation.

Cell lengths 6.5962, 6.5962, 6.4006 Å; angles 100.09, 100.09, 120.26 degrees
Fractional coordinates of all 12 atoms:
S (0.9314, 0.6210, 0.7517)
Ag (0.1526, 0.8474, 0.5000)
S (0.7386, 0.7386, 0.1916)
S (0.6210, 0.9314, 0.7517)
Li (0.3253, 0.6747, 0.0000)
Ag (0.5000, 0.5000, 0.5000)
S (0.0686, 0.3790, 0.2483)
S (0.2614, 0.2614, 0.8084)
Ta (0.0000, 0.0000, 0.0000)
S (0.3790, 0.0686, 0.2483)
Li (0.6747, 0.3253, 0.0000)
Ag (0.8474, 0.1526, 0.5000)

Summary:
ρ = 5242 kg/m3
Formation energy (no corrections) = -0.492 eV per atom

=====

[3]
## RbY3F (PBE)

Data for RbY3F after structural relaxation.

Cell lengths 5.3076, 5.3076, 5.3076 Å; angles 90.00, 90.00, 90.00 degrees
Fractional coordinates of all 5 atoms:
Rb (0.5000, 0.5000, 0.5000)
Y (0.0000, 0.5000, 0.0000)
Y (0.0000, 0.0000, 0.5000)
Y (0.5000, 0.0000, 0.0000)
F (0.0000, 0.0000, 0.0000)

Summary:
ρ = 4122 kg/m3
Formation energy (no corrections) = -0.347 eV per atom

=====

[4]
## ErMg2Cd (PBE)

Data for ErMg2Cd after structural relaxation.

Cell lengths 5.0880, 5.0880, 5.0856 Å; angles 90.63, 119.64, 119.66 degrees
Fractional coordinates of all 4 atoms:
Mg (0.6253, 0.0625, 0.6879)
Er (0.1250, 0.3125, 0.4375)
Mg (0.1249, 0.8125, 0.9374)
Cd (0.6247, 0.5625, 0.1872)

Summary:
ρ = 5826 kg/m3
ΔH_f (0 K) = -4.1 kcal/mol of atoms

=====

[5]
## AgAs2BrO (PBE)

Data for AgAs2BrO after structural relaxation.

Cell lengths 4.1200, 4.1200, 6.9982 Å; angles 90.00, 90.00, 90.00 degrees
Fractional coordinates of all 5 atoms:
Br (0.0000, 0.0000, 0.5000)
As (0.5000, 0.0000, 0.0000)
O (0.0000, 0.0000, 0.0000)
As (0.0000, 0.5000, 0.0000)
Ag (0.5000, 0.5000, 0.5000)

Summary:
ρ = 4943 kg/m3
Formation energy (no corrections) = 0.218 eV per atom

=====

[6]
## BeH (PBE)

Data for BeH after structural relaxation.

Cell lengths 4.4388, 4.4388, 4.4388 Å; angles 90.00, 90.00, 90.00 degrees
Fractional coordinates of all 12 atoms:
H (0.5000, 0.0000, 0.2500)
Be (0.5000, 0.2500, 0.0000)
Be (0.7500, 0.0000, 0.5000)
Be (0.2500, 0.0000, 0.5000)
H (0.2500, 0.5000, 0.0000)
Be (0.5000, 0.7500, 0.0000)
H (0.5000, 0.0000, 0.7500)
Be (0.0000, 0.5000, 0.2500)
H (0.0000, 0.2500, 0.5000)
Be (0.0000, 0.5000, 0.7500)
H (0.0000, 0.7500, 0.5000)
H (0.7500, 0.5000, 0.0000)

Summary:
ρ = 1142 kg/m3
Uncorrected energy = -2.84 eV per atom

=====

[7]
## BeGeSb3 (PBE)

Data for BeGeSb3 after structural relaxation.

Cell lengths 4.9347, 4.9347, 4.9347 Å; angles 90.00, 90.00, 90.00 degrees
Fractional coordinates of all 5 atoms:
Sb (0.5000, 0.0000, 0.0000)
Sb (0.0000, 0.0000, 0.5000)
Be (0.0000, 0.0000, 0.0000)
Sb (0.0000, 0.5000, 0.0000)
Ge (0.5000, 0.5000, 0.5000)

Summary:
ρ = 6176 kg/m3
Formation energy (no corrections) = 0.537 eV per atom

=====

[8]
## Y3Ni4Ir4 (PBE)

Data for Y3Ni4Ir4 after structural relaxation.

Cell lengths 6.3556, 6.3556, 6.3556 Å; angles 109.47, 109.47, 109.47 degrees
Fractional coordinates of all 11 atoms:
Y (0.0000, 0.5000, 0.5000)
Ir (0.0000, 0.5918, 0.0000)
Ni (0.0000, 0.2300, 0.0000)
Y (0.5000, 0.5000, 0.0000)
Ir (0.0000, 0.0000, 0.5918)
Ni (0.7700, 0.7700, 0.7700)
Ir (0.4082, 0.4082, 0.4082)
Y (0.5000, 0.0000, 0.5000)
Ni (0.0000, 0.0000, 0.2300)
Ir (0.5918, 0.0000, 0.0000)
Ni (0.2300, 0.0000, 0.0000)

Summary:
ρ = 10674 kg/m3
ΔH_f (0 K) = -5.7 kcal/mol of atoms